# 1
Computed, not measured: AlB5H16N2O14 after structural relaxation at the GGA-PBE level of DFT.

Properties
As for the energy: -6.17 eV/atom. The value obtained for the total magnetization is 0.09 μB per formula unit.

a b c (Å): 7.030 7.030 14.264
angles (deg): 90.00 90.00 95.31
Positions (direct):
Al 0.120 0.120 0.000
Al 0.880 0.880 0.500
B 0.193 0.757 0.908
B 0.210 0.420 0.866
B 0.243 0.807 0.592
B 0.325 0.675 0.750
B 0.420 0.210 0.134
B 0.580 0.790 0.634
B 0.675 0.325 0.250
B 0.757 0.193 0.092
B 0.790 0.580 0.366
B 0.807 0.243 0.408
H 0.014 0.488 0.649
H 0.029 0.747 0.181
H 0.032 0.086 0.211
H 0.050 0.687 0.068
H 0.086 0.032 0.789
H 0.144 0.471 0.353
H 0.212 0.630 0.147
H 0.253 0.971 0.319
H 0.313 0.950 0.432
H 0.328 0.430 0.293
H 0.332 0.405 0.451
H 0.370 0.788 0.353
H 0.405 0.332 0.549
H 0.430 0.328 0.707
H 0.471 0.144 0.647
H 0.488 0.014 0.351
H 0.512 0.986 0.851
H 0.529 0.856 0.147
H 0.570 0.672 0.207
H 0.595 0.668 0.049
H 0.630 0.212 0.853
H 0.668 0.595 0.951
H 0.672 0.570 0.793
H 0.687 0.050 0.932
H 0.747 0.029 0.819
H 0.788 0.370 0.647
H 0.856 0.529 0.853
H 0.914 0.968 0.289
H 0.950 0.313 0.568
H 0.968 0.914 0.711
H 0.971 0.253 0.681
H 0.986 0.512 0.149
N 0.068 0.640 0.137
N 0.360 0.932 0.363
N 0.640 0.068 0.863
N 0.932 0.360 0.637
O 0.029 0.971 0.250
O 0.122 0.854 0.525
O 0.136 0.561 0.921
O 0.146 0.878 0.975
O 0.189 0.705 0.672
O 0.196 0.238 0.896
O 0.238 0.196 0.104
O 0.275 0.519 0.338
O 0.293 0.473 0.781
O 0.295 0.811 0.828
O 0.307 0.307 0.500
O 0.439 0.864 0.579
O 0.473 0.293 0.219
O 0.481 0.725 0.162
O 0.519 0.275 0.662
O 0.527 0.707 0.719
O 0.561 0.136 0.079
O 0.693 0.693 0.000
O 0.705 0.189 0.328
O 0.707 0.527 0.281
O 0.725 0.481 0.838
O 0.762 0.804 0.604
O 0.804 0.762 0.396
O 0.811 0.295 0.172
O 0.854 0.122 0.475
O 0.864 0.439 0.421
O 0.878 0.146 0.025
O 0.971 0.029 0.750

=====

# 2
Computed, not measured: TiAlB2H after structural relaxation at the GGA-PBE level of DFT.

Properties
As for the energy: -4.91 eV/atom. The value obtained for the total magnetization is 0.00 μB per formula unit.

a b c (Å): 4.245 4.245 2.954
angles (deg): 90.00 90.00 90.00
Positions (direct):
Ti 0.000 0.000 0.000
Al 0.500 0.500 0.500
B 0.000 0.500 0.500
B 0.500 0.000 0.500
H 0.500 0.500 0.000

=====

# 3
Computed, not measured: Hf2AlB6 after structural relaxation at the GGA-PBE level of DFT.

Properties
The energy of formation comes out at -0.63 eV per atom. The value obtained for the total magnetization is 0.00 μB per formula unit.

a b c (Å): 5.375 5.375 3.422
angles (deg): 90.00 90.00 120.00
Positions (direct):
Hf 0.333 0.667 0.000
Hf 0.667 0.333 0.000
Al 0.000 0.000 0.000
B 0.000 0.330 0.500
B 0.000 0.670 0.500
B 0.330 0.000 0.500
B 0.330 0.330 0.500
B 0.670 0.000 0.500
B 0.670 0.670 0.500

=====

# 4
Computed, not measured: Hf2AlB after structural relaxation at the GGA-PBE level of DFT.

Properties
As for the energy above the most stable polymorph in this dataset: 446 meV per atom. The energy of formation comes out at 0.07 eV per atom. The value obtained for the total magnetization is 0.00 μB per formula unit.

a b c (Å): 6.940 6.940 5.850
angles (deg): 90.00 90.00 90.00
Positions (direct):
Hf 0.199 0.750 0.125
Hf 0.250 0.199 0.875
Hf 0.250 0.301 0.375
Hf 0.301 0.750 0.625
Hf 0.699 0.250 0.625
Hf 0.750 0.699 0.375
Hf 0.750 0.801 0.875
Hf 0.801 0.250 0.125
Al 0.000 0.000 0.500
Al 0.000 0.500 0.750
Al 0.500 0.000 0.250
Al 0.500 0.500 0.000
B 0.000 0.000 0.000
B 0.000 0.500 0.250
B 0.500 0.000 0.750
B 0.500 0.500 0.500

=====

# 5
Computed, not measured: HfAlB3 after structural relaxation at the GGA-PBE level of DFT.

Properties
As for the energy above the most stable polymorph in this dataset: 594 meV per atom. The energy of formation comes out at 1.73 eV per atom. The value obtained for the total magnetization is 0.00 μB per formula unit.

a b c (Å): 4.382 4.382 4.382
angles (deg): 90.00 90.00 90.00
Positions (direct):
Hf 0.000 0.000 0.000
Al 0.500 0.500 0.500
B 0.000 0.000 0.500
B 0.000 0.500 0.000
B 0.500 0.000 0.000

=====

# 6
Computed, not measured: Hf2AlB after structural relaxation at the GGA-PBE level of DFT.

Properties
As for the energy above the most stable polymorph in this dataset: 626 meV per atom. The energy of formation comes out at 0.25 eV per atom. The value obtained for the total magnetization is 0.00 μB per formula unit.

a b c (Å): 6.410 6.410 6.410
angles (deg): 90.00 90.00 90.00
Positions (direct):
Hf 0.250 0.250 0.250
Hf 0.250 0.250 0.750
Hf 0.250 0.750 0.250
Hf 0.250 0.750 0.750
Hf 0.750 0.250 0.250
Hf 0.750 0.250 0.750
Hf 0.750 0.750 0.250
Hf 0.750 0.750 0.750
Al 0.000 0.000 0.000
Al 0.000 0.500 0.500
Al 0.500 0.000 0.500
Al 0.500 0.500 0.000
B 0.000 0.000 0.500
B 0.000 0.500 0.000
B 0.500 0.000 0.000
B 0.500 0.500 0.500

=====

# 7
Computed, not measured: Hf6Al3B after structural relaxation at the GGA-PBE level of DFT.

Properties
The energy of formation comes out at -0.16 eV per atom. The value obtained for the total magnetization is 0.00 μB per formula unit.

a b c (Å): 6.097 6.097 6.176
angles (deg): 97.89 97.89 59.88
Positions (direct):
Hf 0.126 0.631 0.655
Hf 0.140 0.140 0.849
Hf 0.369 0.874 0.345
Hf 0.631 0.126 0.655
Hf 0.860 0.860 0.151
Hf 0.874 0.369 0.345
Al 0.342 0.342 0.256
Al 0.500 0.500 0.000
Al 0.658 0.658 0.744
B 0.000 0.000 0.500

=====

# 8
Computed, not measured: Hf2AlB after structural relaxation at the GGA-PBE level of DFT.

Properties
As for the energy above the most stable polymorph in this dataset: 0 meV per atom. The energy of formation comes out at -0.37 eV per atom. The value obtained for the total magnetization is 0.00 μB per formula unit.

a b c (Å): 3.371 3.371 21.830
angles (deg): 90.00 90.00 120.00
Positions (direct):
Hf 0.000 0.000 0.226
Hf 0.000 0.000 0.774
Hf 0.333 0.667 0.440
Hf 0.333 0.667 0.893
Hf 0.667 0.333 0.107
Hf 0.667 0.333 0.560
Al 0.000 0.000 0.000
Al 0.333 0.667 0.667
Al 0.667 0.333 0.333
B 0.000 0.000 0.500
B 0.333 0.667 0.167
B 0.667 0.333 0.833